This record from OQMD describes NaPtO4 after structural relaxation. The functional is GGA-PBE.

The structure in POSCAR format:
```
NaPtO4
1.0
4.6463 0.0000 0.0000
0.0000 3.0978 0.0000
-0.0445 0.0000 4.7597
O Na Pt
4 1 1
direct
0.5904 0.5000 0.7490
0.9086 0.0000 0.3787
0.4096 0.5000 0.2510
0.0914 0.0000 0.6213
0.0000 0.5000 0.0000
0.5000 0.0000 0.5000
```

Computed properties:
- Energy: -5.137 eV per atom
- Symmetry: P2/m, No. 10


This record from OQMD describes Na2Pt2O5 after structural relaxation. The functional is GGA-PBE.

The structure in POSCAR format:
```
Na2Pt2O5
1.0
-6.6963 -1.0281 4.1058
1.9468 -1.9463 2.6877
0.6599 3.2809 1.8979
O Pt Na
5 2 2
direct
0.8088 0.0000 0.5000
0.8088 0.5000 0.0000
0.1912 0.0000 0.5000
0.5000 0.5000 0.5000
0.1912 0.5000 0.0000
0.7643 0.5000 0.5000
0.2357 0.5000 0.5000
0.0000 0.0000 0.0000
0.5000 0.0000 0.0000
```

Computed properties:
- Energy: -5.002 eV per atom
- Symmetry: P4/mmm, No. 123


This record from OQMD describes Na2Pt2O5 after structural relaxation. The functional is GGA-PBE.

The structure in POSCAR format:
```
Na2Pt2O5
1.0
8.2250 0.0000 0.0000
0.0000 3.9711 0.0000
0.0000 0.0000 3.9711
Pt O Na
2 5 2
direct
0.0000 0.0000 0.0000
0.5000 0.0000 0.0000
0.9082 0.0000 0.5000
0.9082 0.5000 0.0000
0.5000 0.5000 0.5000
0.0918 0.0000 0.5000
0.0918 0.5000 0.0000
0.2427 0.5000 0.5000
0.7573 0.5000 0.5000
```

Computed properties:
- Energy: -4.208 eV per atom
- Symmetry: P4/mmm, No. 123


This record from OQMD describes Na2Pt2O5 after structural relaxation. The functional is GGA-PBE.

The structure in POSCAR format:
```
Na2Pt2O5
1.0
3.4617 -3.4715 1.1549
-1.6029 -4.7307 -0.7447
2.2460 -2.6235 -4.7244
Na O Pt
2 5 2
direct
0.1507 0.1412 0.5704
0.8456 0.8672 0.4107
0.3355 0.9145 0.2288
0.0318 0.4458 0.7948
0.4341 0.7254 0.7779
0.9541 0.5098 0.2264
0.6916 0.0965 0.7796
0.6699 0.6644 0.0086
0.3392 0.3339 0.9879
```

Computed properties:
- Energy: -5.104 eV per atom
- Symmetry: P1, No. 1


This record from OQMD describes Na2RePtO6 after structural relaxation. The functional is GGA-PBE.

The structure in POSCAR format:
```
Na2RePtO6
1.0
-3.1848 -2.0476 -3.7771
2.1308 -4.9257 0.8736
-2.1810 0.6558 9.0168
O Na Pt Re
12 4 2 2
direct
0.7381 0.7905 0.5518
0.8385 0.1916 0.0475
0.3566 0.9717 0.7595
0.6434 0.4717 0.7405
0.2619 0.2905 0.9482
0.7381 0.7095 0.0518
0.8385 0.3084 0.5475
0.1615 0.6916 0.4525
0.2619 0.2095 0.4482
0.1615 0.8084 0.9525
0.3566 0.5283 0.2595
0.6434 0.0283 0.2405
0.7632 0.4506 0.2517
0.2368 0.9506 0.2483
0.2368 0.5494 0.7483
0.7632 0.0494 0.7517
0.0000 0.0000 0.5000
0.0000 0.5000 0.0000
0.5000 0.5000 0.5000
0.5000 0.0000 0.0000
```

Computed properties:
- Energy: -6.373 eV per atom
- Symmetry: P2_1/c, No. 14


This record from OQMD describes NaScPt2O6 after structural relaxation. The functional is GGA-PBE.

The structure in POSCAR format:
```
NaScPt2O6
1.0
5.2568 -4.6278 0.0000
5.2568 4.6278 0.0000
-0.9518 0.0000 5.4270
O Pt Sc Na
12 4 2 2
direct
0.6484 0.1231 0.3909
0.0261 0.1795 0.6049
0.8205 0.9739 0.8951
0.6286 0.6697 0.0492
0.3516 0.8769 0.6091
0.6697 0.6286 0.5492
0.1231 0.6484 0.8909
0.9739 0.8205 0.3951
0.8769 0.3516 0.1091
0.1795 0.0261 0.1049
0.3714 0.3303 0.9508
0.3303 0.3714 0.4508
0.5816 0.8582 0.8246
0.1418 0.4184 0.6754
0.8582 0.5816 0.3246
0.4184 0.1418 0.1754
0.0902 0.9098 0.7500
0.9098 0.0902 0.2500
0.6494 0.3506 0.7500
0.3506 0.6494 0.2500
```

Computed properties:
- Energy: -6.057 eV per atom
- Symmetry: C2/c, No. 15